No. 1
# CoReC3 (PBE, relaxed)
data_CoReC3
_symmetry_space_group_name_H-M 'P m -3 m'
_symmetry_Int_Tables_number 221
_symmetry_space_group_name_Hall '-P 4 2 3'
_cell_length_a 3.999
_cell_length_b 3.999
_cell_length_c 3.999
_cell_angle_alpha 90.00
_cell_angle_beta 90.00
_cell_angle_gamma 90.00
loop_
_atom_site_label
_atom_site_type_symbol
_atom_site_fract_x
_atom_site_fract_y
_atom_site_fract_z
_atom_site_occupancy
Co1 Co 0.000 0.000 0.000 1
Re1 Re 0.500 0.500 0.500 1
C1 C 0.000 0.500 0.500 1
# Formation enthalpy at 0 K   2053 meV/atom
# Total DFT energy (no corrections)   -7.392 eV/atom
# Magnetization   0.32 μB/atom
# Distance to the lowest polymorph of the same formula   0.000 eV per atom

***

No. 2
# Co3ReC (PBE, relaxed)
data_Co3ReC
_symmetry_space_group_name_H-M 'P m -3 m'
_symmetry_Int_Tables_number 221
_symmetry_space_group_name_Hall '-P 4 2 3'
_cell_length_a 3.783
_cell_length_b 3.783
_cell_length_c 3.783
_cell_angle_alpha 90.00
_cell_angle_beta 90.00
_cell_angle_gamma 90.00
loop_
_atom_site_label
_atom_site_type_symbol
_atom_site_fract_x
_atom_site_fract_y
_atom_site_fract_z
_atom_site_occupancy
Co1 Co 0.000 0.000 0.500 1
Re1 Re 0.500 0.500 0.500 1
C1 C 0.000 0.000 0.000 1
# Formation enthalpy at 0 K   430 meV/atom
# Total DFT energy (no corrections)   -8.168 eV/atom
# Magnetization   0.98 μB/atom
# Distance to the lowest polymorph of the same formula   0.000 eV per atom

***

No. 3
# CoRe3C (PBE, relaxed)
data_CoRe3C
_symmetry_space_group_name_H-M 'P m -3 m'
_symmetry_Int_Tables_number 221
_symmetry_space_group_name_Hall '-P 4 2 3'
_cell_length_a 4.382
_cell_length_b 4.382
_cell_length_c 4.382
_cell_angle_alpha 90.00
_cell_angle_beta 90.00
_cell_angle_gamma 90.00
loop_
_atom_site_label
_atom_site_type_symbol
_atom_site_fract_x
_atom_site_fract_y
_atom_site_fract_z
_atom_site_occupancy
Co1 Co 0.000 0.000 0.000 1
Re1 Re 0.000 0.000 0.500 1
C1 C 0.500 0.500 0.500 1
# Formation enthalpy at 0 K   2932 meV/atom
# Total DFT energy (no corrections)   -7.803 eV/atom
# Magnetization   0.00 μB/atom
# Distance to the lowest polymorph of the same formula   2.503 eV per atom

***

No. 4
# CoRe2C (PBE, relaxed)
data_CoRe2C
_symmetry_space_group_name_H-M 'I -4 2 d'
_symmetry_Int_Tables_number 122
_symmetry_space_group_name_Hall 'I -4 2bw'
_cell_length_a 4.898
_cell_length_b 4.898
_cell_length_c 9.911
_cell_angle_alpha 90.00
_cell_angle_beta 90.00
_cell_angle_gamma 90.00
loop_
_atom_site_label
_atom_site_type_symbol
_atom_site_fract_x
_atom_site_fract_y
_atom_site_fract_z
_atom_site_occupancy
Co1 Co 0.000 0.000 0.000 1
Re1 Re 0.197 0.250 0.625 1
C1 C 0.000 0.000 0.500 1
# Formation enthalpy at 0 K   1004 meV/atom
# Total DFT energy (no corrections)   -9.302 eV/atom
# Magnetization   0.00 μB/atom

***

No. 5
# CoRe3C (PBE, relaxed)
data_CoRe3C
_symmetry_space_group_name_H-M 'P m -3 m'
_symmetry_Int_Tables_number 221
_symmetry_space_group_name_Hall '-P 4 2 3'
_cell_length_a 4.028
_cell_length_b 4.028
_cell_length_c 4.028
_cell_angle_alpha 90.00
_cell_angle_beta 90.00
_cell_angle_gamma 90.00
loop_
_atom_site_label
_atom_site_type_symbol
_atom_site_fract_x
_atom_site_fract_y
_atom_site_fract_z
_atom_site_occupancy
Co1 Co 0.000 0.000 0.000 1
Re1 Re 0.000 0.500 0.500 1
C1 C 0.500 0.500 0.500 1
# Formation enthalpy at 0 K   429 meV/atom
# Total DFT energy (no corrections)   -10.306 eV/atom
# Magnetization   0.24 μB/atom
# Distance to the lowest polymorph of the same formula   0.000 eV per atom

***

No. 6
# CoReCS2 (PBE, relaxed)
data_CoReCS2
_symmetry_space_group_name_H-M 'P 4/m m m'
_symmetry_Int_Tables_number 123
_symmetry_space_group_name_Hall '-P 4 2'
_cell_length_a 4.744
_cell_length_b 4.744
_cell_length_c 3.852
_cell_angle_alpha 90.00
_cell_angle_beta 90.00
_cell_angle_gamma 90.00
loop_
_atom_site_label
_atom_site_type_symbol
_atom_site_fract_x
_atom_site_fract_y
_atom_site_fract_z
_atom_site_occupancy
Co1 Co 0.000 0.000 0.000 1
Re1 Re 0.500 0.500 0.500 1
C1 C 0.500 0.500 0.000 1
S1 S 0.000 0.500 0.500 1
# Total DFT energy (no corrections)   -6.234 eV/atom
# Magnetization   0.52 μB/atom
# E_form (uncorrected)   1.17 eV per atom

***

No. 7
# CoReSn2C (PBE, relaxed)
data_CoReSn2C
_symmetry_space_group_name_H-M 'P 4/m m m'
_symmetry_Int_Tables_number 123
_symmetry_space_group_name_Hall '-P 4 2'
_cell_length_a 5.193
_cell_length_b 5.193
_cell_length_c 4.492
_cell_angle_alpha 90.00
_cell_angle_beta 90.00
_cell_angle_gamma 90.00
loop_
_atom_site_label
_atom_site_type_symbol
_atom_site_fract_x
_atom_site_fract_y
_atom_site_fract_z
_atom_site_occupancy
Co1 Co 0.000 0.000 0.000 1
Re1 Re 0.000 0.000 0.500 1
Sn1 Sn 0.000 0.500 0.500 1
C1 C 0.500 0.500 0.000 1
# Formation enthalpy at 0 K   2036 meV/atom
# Total DFT energy (no corrections)   -5.321 eV/atom
# Magnetization   0.70 μB/atom

***

No. 8
# TaCo2ReC (PBE, relaxed)
data_TaCo2ReC
_symmetry_space_group_name_H-M 'P 4/m m m'
_symmetry_Int_Tables_number 123
_symmetry_space_group_name_Hall '-P 4 2'
_cell_length_a 3.857
_cell_length_b 3.857
_cell_length_c 4.047
_cell_angle_alpha 90.00
_cell_angle_beta 90.00
_cell_angle_gamma 90.00
loop_
_atom_site_label
_atom_site_type_symbol
_atom_site_fract_x
_atom_site_fract_y
_atom_site_fract_z
_atom_site_occupancy
Ta1 Ta 0.000 0.000 0.000 1
Co1 Co 0.000 0.500 0.500 1
Re1 Re 0.500 0.500 0.000 1
C1 C 0.500 0.500 0.500 1
# Formation enthalpy at 0 K   -6 meV/atom
# Total DFT energy (no corrections)   -9.553 eV/atom
# Magnetization   0.00 μB/atom

***

No. 9
# CoReTeC2 (PBE, relaxed)
data_CoReTeC2
_symmetry_space_group_name_H-M 'P 4/m m m'
_symmetry_Int_Tables_number 123
_symmetry_space_group_name_Hall '-P 4 2'
_cell_length_a 3.947
_cell_length_b 3.947
_cell_length_c 5.120
_cell_angle_alpha 90.00
_cell_angle_beta 90.00
_cell_angle_gamma 90.00
loop_
_atom_site_label
_atom_site_type_symbol
_atom_site_fract_x
_atom_site_fract_y
_atom_site_fract_z
_atom_site_occupancy
Co1 Co 0.000 0.000 0.000 1
Re1 Re 0.000 0.000 0.500 1
Te1 Te 0.500 0.500 0.000 1
C1 C 0.000 0.500 0.500 1
# Total DFT energy (no corrections)   -6.758 eV/atom
# Magnetization   0.26 μB/atom
# E_form (uncorrected)   1.47 eV per atom

***

No. 10
# VCoRe2C (PBE, relaxed)
data_VCoRe2C
_symmetry_space_group_name_H-M 'P 4/m m m'
_symmetry_Int_Tables_number 123
_symmetry_space_group_name_Hall '-P 4 2'
_cell_length_a 4.587
_cell_length_b 4.587
_cell_length_c 3.373
_cell_angle_alpha 90.00
_cell_angle_beta 90.00
_cell_angle_gamma 90.00
loop_
_atom_site_label
_atom_site_type_symbol
_atom_site_fract_x
_atom_site_fract_y
_atom_site_fract_z
_atom_site_occupancy
V1 V 0.000 0.000 0.000 1
Co1 Co 0.500 0.500 0.500 1
Re1 Re 0.000 0.500 0.500 1
C1 C 0.500 0.500 0.000 1
# Formation enthalpy at 0 K   1523 meV/atom
# Total DFT energy (no corrections)   -8.546 eV/atom
# Magnetization   0.00 μB/atom

***

No. 11
# YCo2ReC (PBE, relaxed)
data_YCo2ReC
_symmetry_space_group_name_H-M 'P 4/m m m'
_symmetry_Int_Tables_number 123
_symmetry_space_group_name_Hall '-P 4 2'
_cell_length_a 4.561
_cell_length_b 4.561
_cell_length_c 5.243
_cell_angle_alpha 90.00
_cell_angle_beta 90.00
_cell_angle_gamma 90.00
loop_
_atom_site_label
_atom_site_type_symbol
_atom_site_fract_x
_atom_site_fract_y
_atom_site_fract_z
_atom_site_occupancy
Y1 Y 0.000 0.000 0.000 1
Co1 Co 0.000 0.500 0.000 1
Re1 Re 0.000 0.000 0.500 1
C1 C 0.500 0.500 0.500 1
# Formation enthalpy at 0 K   3486 meV/atom
# Total DFT energy (no corrections)   -4.983 eV/atom
# Magnetization   0.90 μB/atom

***

No. 12
# CoRh2C (PBE, relaxed)
data_CoRh2C
_symmetry_space_group_name_H-M 'I -4 2 d'
_symmetry_Int_Tables_number 122
_symmetry_space_group_name_Hall 'I -4 2bw'
_cell_length_a 6.882
_cell_length_b 6.882
_cell_length_c 4.261
_cell_angle_alpha 90.00
_cell_angle_beta 90.00
_cell_angle_gamma 90.00
loop_
_atom_site_label
_atom_site_type_symbol
_atom_site_fract_x
_atom_site_fract_y
_atom_site_fract_z
_atom_site_occupancy
Co1 Co 0.000 0.000 0.000 1
Rh1 Rh 0.129 0.250 0.625 1
C1 C 0.000 0.000 0.500 1
# Formation enthalpy at 0 K   404 meV/atom
# Total DFT energy (no corrections)   -7.354 eV/atom
# Magnetization   0.55 μB/atom

***

No. 13
# Co3RhC (PBE, relaxed)
data_Co3RhC
_symmetry_space_group_name_H-M 'P m -3 m'
_symmetry_Int_Tables_number 221
_symmetry_space_group_name_Hall '-P 4 2 3'
_cell_length_a 3.796
_cell_length_b 3.796
_cell_length_c 3.796
_cell_angle_alpha 90.00
_cell_angle_beta 90.00
_cell_angle_gamma 90.00
loop_
_atom_site_label
_atom_site_type_symbol
_atom_site_fract_x
_atom_site_fract_y
_atom_site_fract_z
_atom_site_occupancy
Co1 Co 0.000 0.000 0.500 1
Rh1 Rh 0.500 0.500 0.500 1
C1 C 0.000 0.000 0.000 1
# Formation enthalpy at 0 K   232 meV/atom
# Total DFT energy (no corrections)   -7.347 eV/atom
# Magnetization   1.13 μB/atom
# Distance to the lowest polymorph of the same formula   0.000 eV per atom

***

No. 14
# Co2RhC (PBE, relaxed)
data_Co2RhC
_symmetry_space_group_name_H-M 'I -4 2 d'
_symmetry_Int_Tables_number 122
_symmetry_space_group_name_Hall 'I -4 2bw'
_cell_length_a 6.186
_cell_length_b 6.186
_cell_length_c 4.494
_cell_angle_alpha 90.00
_cell_angle_beta 90.00
_cell_angle_gamma 90.00
loop_
_atom_site_label
_atom_site_type_symbol
_atom_site_fract_x
_atom_site_fract_y
_atom_site_fract_z
_atom_site_occupancy
Co1 Co 0.151 0.250 0.125 1
Rh1 Rh 0.000 0.000 0.500 1
C1 C 0.000 0.000 0.000 1
# Formation enthalpy at 0 K   358 meV/atom
# Total DFT energy (no corrections)   -7.339 eV/atom
# Magnetization   0.52 μB/atom

***

No. 15
# Co3RhC (PBE, relaxed)
data_Co3RhC
_symmetry_space_group_name_H-M 'P m -3 m'
_symmetry_Int_Tables_number 221
_symmetry_space_group_name_Hall '-P 4 2 3'
_cell_length_a 4.512
_cell_length_b 4.512
_cell_length_c 4.512
_cell_angle_alpha 90.00
_cell_angle_beta 90.00
_cell_angle_gamma 90.00
loop_
_atom_site_label
_atom_site_type_symbol
_atom_site_fract_x
_atom_site_fract_y
_atom_site_fract_z
_atom_site_occupancy
Co1 Co 0.000 0.000 0.500 1
Rh1 Rh 0.000 0.000 0.000 1
C1 C 0.500 0.500 0.500 1
# Formation enthalpy at 0 K   2594 meV/atom
# Total DFT energy (no corrections)   -4.985 eV/atom
# Magnetization   1.38 μB/atom
# Distance to the lowest polymorph of the same formula   2.362 eV per atom

***

No. 16
# CoRuRhC2 (PBE, relaxed)
data_CoRuRhC2
_symmetry_space_group_name_H-M 'P 4/m m m'
_symmetry_Int_Tables_number 123
_symmetry_space_group_name_Hall '-P 4 2'
_cell_length_a 3.570
_cell_length_b 3.570
_cell_length_c 5.135
_cell_angle_alpha 90.00
_cell_angle_beta 90.00
_cell_angle_gamma 90.00
loop_
_atom_site_label
_atom_site_type_symbol
_atom_site_fract_x
_atom_site_fract_y
_atom_site_fract_z
_atom_site_occupancy
Co1 Co 0.000 0.000 0.000 1
Ru1 Ru 0.000 0.000 0.500 1
Rh1 Rh 0.500 0.500 0.500 1
C1 C 0.000 0.500 0.000 1
# Formation enthalpy at 0 K   1781 meV/atom
# Total DFT energy (no corrections)   -6.655 eV/atom
# Magnetization   0.35 μB/atom

***

No. 17
# ScCoRh2C (PBE, relaxed)
data_ScCoRh2C
_symmetry_space_group_name_H-M 'P 4/m m m'
_symmetry_Int_Tables_number 123
_symmetry_space_group_name_Hall '-P 4 2'
_cell_length_a 4.124
_cell_length_b 4.124
_cell_length_c 3.803
_cell_angle_alpha 90.00
_cell_angle_beta 90.00
_cell_angle_gamma 90.00
loop_
_atom_site_label
_atom_site_type_symbol
_atom_site_fract_x
_atom_site_fract_y
_atom_site_fract_z
_atom_site_occupancy
Sc1 Sc 0.000 0.000 0.000 1
Co1 Co 0.500 0.500 0.000 1
Rh1 Rh 0.000 0.500 0.500 1
C1 C 0.500 0.500 0.500 1
# Formation enthalpy at 0 K   -422 meV/atom
# Total DFT energy (no corrections)   -7.895 eV/atom
# Magnetization   0.00 μB/atom

***

No. 18
# Sc2CoRhC (PBE, relaxed)
data_Sc2CoRhC
_symmetry_space_group_name_H-M 'P 4/m m m'
_symmetry_Int_Tables_number 123
_symmetry_space_group_name_Hall '-P 4 2'
_cell_length_a 4.574
_cell_length_b 4.574
_cell_length_c 3.536
_cell_angle_alpha 90.00
_cell_angle_beta 90.00
_cell_angle_gamma 90.00
loop_
_atom_site_label
_atom_site_type_symbol
_atom_site_fract_x
_atom_site_fract_y
_atom_site_fract_z
_atom_site_occupancy
Sc1 Sc 0.000 0.500 0.000 1
Co1 Co 0.000 0.000 0.500 1
Rh1 Rh 0.500 0.500 0.500 1
C1 C 0.000 0.000 0.000 1
# Formation enthalpy at 0 K   -520 meV/atom
# Total DFT energy (no corrections)   -7.788 eV/atom
# Magnetization   0.09 μB/atom

***

No. 19
# ScCo2RhC (PBE, relaxed)
data_ScCo2RhC
_symmetry_space_group_name_H-M 'P 4/m m m'
_symmetry_Int_Tables_number 123
_symmetry_space_group_name_Hall '-P 4 2'
_cell_length_a 3.827
_cell_length_b 3.827
_cell_length_c 4.108
_cell_angle_alpha 90.00
_cell_angle_beta 90.00
_cell_angle_gamma 90.00
loop_
_atom_site_label
_atom_site_type_symbol
_atom_site_fract_x
_atom_site_fract_y
_atom_site_fract_z
_atom_site_occupancy
Sc1 Sc 0.000 0.000 0.000 1
Co1 Co 0.000 0.500 0.500 1
Rh1 Rh 0.500 0.500 0.000 1
C1 C 0.500 0.500 0.500 1
# Formation enthalpy at 0 K   -344 meV/atom
# Total DFT energy (no corrections)   -7.768 eV/atom
# Magnetization   0.00 μB/atom
# Distance to the lowest polymorph of the same formula   0.000 eV per atom

***

No. 20
# ScCo2RhC (PBE, relaxed)
data_ScCo2RhC
_symmetry_space_group_name_H-M 'P 4/m m m'
_symmetry_Int_Tables_number 123
_symmetry_space_group_name_Hall '-P 4 2'
_cell_length_a 3.720
_cell_length_b 3.720
_cell_length_c 4.493
_cell_angle_alpha 90.00
_cell_angle_beta 90.00
_cell_angle_gamma 90.00
loop_
_atom_site_label
_atom_site_type_symbol
_atom_site_fract_x
_atom_site_fract_y
_atom_site_fract_z
_atom_site_occupancy
Sc1 Sc 0.000 0.000 0.000 1
Co1 Co 0.000 0.500 0.500 1
Rh1 Rh 0.500 0.500 0.000 1
C1 C 0.000 0.000 0.500 1
# Formation enthalpy at 0 K   -193 meV/atom
# Total DFT energy (no corrections)   -7.616 eV/atom
# Magnetization   0.26 μB/atom
# Distance to the lowest polymorph of the same formula   0.151 eV per atom

***

DOS at the Fermi energy? In order: 4.61 4.24 4.41 4.40 6.34 7.26 6.39 3.44 5.40 6.11 6.39 3.99 8.34 4.91 7.37 4.83 2.11 3.88 2.59 3.00 states/eV/f.u..